Record 1
VASP calculation (PBE) on an optimized crystal structure of HoPdS2.

Unit cell a=3.6802 b=3.6802 c=23.3596 alpha=90.00 beta=90.00 gamma=120.00
With the nearest neighbours (Å) after each atom.
Space group R-3m (No. 166, hexagonal axes)
One atom of each set of equivalent atoms:
Ho1 0.0000 0.0000 0.0000  2 S 2.64
Pd1 0.0000 0.0000 0.5000  6 S 2.47
S1 0.0000 0.0000 0.1131  3 Pd 2.47, 1 Ho 2.64

Calculated values
* VASP energy: -4.8973 eV/atom
* energy above the lowest structure with this stoichiometry: 64.6 kJ/mol of atoms
* total moment: 0.0 μB/f.u.
* E_form (uncorrected): -0.39 eV per atom


Record 2
VASP calculation (PBE) on an optimized crystal structure of Cs2RbInF4.

Unit cell a=8.3332 b=8.3398 c=11.7381 alpha=90.00 beta=90.00 gamma=90.00
With the nearest neighbours (Å) after each atom.
Space group Imma (No. 74)
One atom of each set of equivalent atoms:
Cs1 0.0000 0.0000 0.0000  6 F 3.02-3.04
Cs2 0.2500 0.2500 0.2500  6 F 3.00-3.01
Rb1 0.2500 0.2500 0.7500  6 F 2.87-2.89
In1 0.0000 0.0000 0.5000  6 F 2.83-2.88
F1 0.0000 0.0105 0.7414  1 In 2.83, 2 Rb 2.89, 3 Cs 3.01-3.04
F2 0.2375 0.2500 0.5054  1 Rb 2.87, 2 In 2.88, 3 Cs 3.00-3.02

Calculated values
* VASP energy: -3.9790 eV/atom
* total moment: 0.0 μB/f.u.
* E_form (uncorrected): -2.37 eV per atom


Record 3
VASP calculation (PBE) on an optimized crystal structure of Ca3YTl.

Unit cell a=6.1743 b=6.1743 c=6.1743 alpha=90.00 beta=90.00 gamma=90.00
With the nearest neighbours (Å) after each atom.
Space group Pm-3m (No. 221)
One atom of each set of equivalent atoms:
Ca1 0.0000 0.0000 0.5000  2 Y 3.09
Y1 0.0000 0.0000 0.0000  6 Ca 3.09
Tl1 0.5000 0.5000 0.5000  12 Ca 4.37

Calculated values
* VASP energy: -2.1860 eV/atom
* energy above the lowest structure with this stoichiometry: 54.4 kJ/mol of atoms
* ΔH_f (0 K): 0.781 eV per atom
* total moment: 2.6 μB/f.u.